Record 1
This record from Alexandria via LeMat-Bulk describes an optimized crystal structure of RhBrCl. The functional is PBE. Values from VASP.

Calculated values
* symmetry: F-43m, No. 216
* crystal system: cubic
* DFT total energy: -3.391 eV per atom

Geometry as Quantum ESPRESSO input:
```
&SYSTEM
  ibrav = 0, nat = 3, ntyp = 3
/
ATOMIC_SPECIES
Rh 102.91 Rh.upf
Br 79.90 Br.upf
Cl 35.45 Cl.upf
CELL_PARAMETERS angstrom
0.0000 3.1721 3.1721
3.1721 0.0000 3.1721
3.1721 3.1721 0.0000
ATOMIC_POSITIONS angstrom
Rh 0.0000 0.0000 0.0000
Br 4.7581 4.7581 4.7581
Cl 1.5860 1.5860 1.5860
```

Record 2
This record from Alexandria via LeMat-Bulk describes an optimized crystal structure of Pr5Ho2Er4. The functional is PBE. Values from VASP.

Calculated values
* symmetry: Immm, No. 71
* crystal system: orthorhombic
* DFT total energy: -4.473 eV per atom

Geometry as Quantum ESPRESSO input:
```
&SYSTEM
  ibrav = 0, nat = 11, ntyp = 3
/
ATOMIC_SPECIES
Pr 140.91 Pr.upf
Ho 164.93 Ho.upf
Er 167.26 Er.upf
CELL_PARAMETERS angstrom
-1.7677 4.5780 11.8207
1.7677 -4.5780 11.8207
1.7677 4.5780 -11.8207
ATOMIC_POSITIONS angstrom
Pr 0.0000 0.0000 0.0000
Pr 1.7677 1.8440 -3.4569
Pr 1.7677 1.8440 3.4569
Pr 0.0000 2.7341 8.3638
Pr 0.0000 2.7341 15.2776
Ho 1.7677 0.0000 6.3796
Ho 0.0000 4.5780 5.4411
Er 1.7677 2.8894 0.0000
Er 1.7677 0.0000 9.5434
Er 0.0000 4.5780 2.2773
Er 0.0000 1.6886 11.8207
```

Record 3
This record from Alexandria via LeMat-Bulk describes an optimized crystal structure of CaGdCdAg. The functional is PBE. Values from VASP.

Calculated values
* symmetry: F-43m, No. 216
* crystal system: cubic
* DFT total energy: -5.268 eV per atom

Geometry as Quantum ESPRESSO input:
```
&SYSTEM
  ibrav = 0, nat = 4, ntyp = 4
/
ATOMIC_SPECIES
Ca 40.08 Ca.upf
Gd 157.25 Gd.upf
Cd 112.41 Cd.upf
Ag 107.87 Ag.upf
CELL_PARAMETERS angstrom
0.0000 3.7395 3.7395
3.7395 0.0000 3.7395
3.7395 3.7395 0.0000
ATOMIC_POSITIONS angstrom
Ca 0.0000 0.0000 0.0000
Gd 3.7395 3.7395 3.7395
Cd 5.6093 5.6093 5.6093
Ag 1.8698 1.8698 1.8698
```

Record 4
This record from Alexandria via LeMat-Bulk describes an optimized crystal structure of TbNdNiAu. The functional is PBE. Values from VASP.

Calculated values
* symmetry: Amm2, No. 38
* crystal system: orthorhombic
* DFT total energy: -5.188 eV per atom

Geometry as Quantum ESPRESSO input:
```
&SYSTEM
  ibrav = 0, nat = 4, ntyp = 4
/
ATOMIC_SPECIES
Tb 158.93 Tb.upf
Nd 144.24 Nd.upf
Ni 58.69 Ni.upf
Au 196.97 Au.upf
CELL_PARAMETERS angstrom
4.6157 0.0000 0.0000
0.0000 1.9380 5.2679
0.0000 -1.9380 5.2679
ATOMIC_POSITIONS angstrom
Tb 0.0000 0.0000 0.0000
Nd 2.3079 0.0000 2.9544
Ni 2.3079 0.0000 5.8615
Au 0.0000 0.0000 7.5143
```

Record 5
This record from Alexandria via LeMat-Bulk describes an optimized crystal structure of CeDy6Y2. The functional is PBE. Values from VASP.

Calculated values
* symmetry: R3m, No. 160
* crystal system: trigonal
* DFT total energy: -4.868 eV per atom

Geometry as Quantum ESPRESSO input:
```
&SYSTEM
  ibrav = 0, nat = 9, ntyp = 3
/
ATOMIC_SPECIES
Ce 140.12 Ce.upf
Dy 162.50 Dy.upf
Y 88.91 Y.upf
CELL_PARAMETERS angstrom
3.6362 2.0994 6.3046
-3.6362 2.0994 6.3046
0.0000 -4.1987 6.3046
ATOMIC_POSITIONS angstrom
Ce 0.0000 0.0000 0.0000
Dy -1.6225 -0.9368 11.1002
Dy -1.7489 -1.0097 14.7601
Dy 1.6225 -0.9368 11.1002
Dy 0.0000 1.8735 11.1002
Dy 1.7489 -1.0097 14.7601
Dy 0.0000 2.0194 14.7601
Y 0.0000 0.0000 4.9198
Y 0.0000 0.0000 8.2821
```

Record 6
This record from Alexandria via LeMat-Bulk describes an optimized crystal structure of PmSm6Ho2. The functional is PBE. Values from VASP.

Calculated values
* symmetry: C2/m, No. 12
* crystal system: monoclinic
* DFT total energy: -4.481 eV per atom

Geometry as Quantum ESPRESSO input:
```
&SYSTEM
  ibrav = 0, nat = 9, ntyp = 3
/
ATOMIC_SPECIES
Pm 145.00 Pm.upf
Sm 150.36 Sm.upf
Ho 164.93 Ho.upf
CELL_PARAMETERS angstrom
6.5458 -3.7793 0.0000
6.5458 3.7793 0.0000
-0.0008 0.0000 6.1247
ATOMIC_POSITIONS angstrom
Pm 0.0000 0.0000 0.0000
Sm 2.4595 0.0000 4.3595
Sm 5.3065 1.6450 4.3521
Sm 7.7843 1.6450 1.7726
Sm 5.3065 -1.6450 4.3521
Sm 7.7843 -1.6450 1.7726
Sm 10.6313 0.0000 1.7653
Ho 4.3663 0.0000 1.3344
Ho 8.7244 0.0000 4.7904
```

Repeat the fifth record exactly.
This record from Alexandria via LeMat-Bulk describes an optimized crystal structure of CeDy6Y2. The functional is PBE. Values from VASP.

Calculated values
* symmetry: R3m, No. 160
* crystal system: trigonal
* DFT total energy: -4.868 eV per atom

Geometry as Quantum ESPRESSO input:
```
&SYSTEM
  ibrav = 0, nat = 9, ntyp = 3
/
ATOMIC_SPECIES
Ce 140.12 Ce.upf
Dy 162.50 Dy.upf
Y 88.91 Y.upf
CELL_PARAMETERS angstrom
3.6362 2.0994 6.3046
-3.6362 2.0994 6.3046
0.0000 -4.1987 6.3046
ATOMIC_POSITIONS angstrom
Ce 0.0000 0.0000 0.0000
Dy -1.6225 -0.9368 11.1002
Dy -1.7489 -1.0097 14.7601
Dy 1.6225 -0.9368 11.1002
Dy 0.0000 1.8735 11.1002
Dy 1.7489 -1.0097 14.7601
Dy 0.0000 2.0194 14.7601
Y 0.0000 0.0000 4.9198
Y 0.0000 0.0000 8.2821
```

> The highest DFT total energy belongs to which entry?

RhBrCl

> Number 4 is which compound?

TbNdNiAu

> Which formula does entry 1 have?

RhBrCl